The following is a DFT calculation (PBE-GGA) of a relaxed structure of GdZrPd.

Its formation energy is 0.5043 eV per atom. For the theoretical density, the calculation gives 8.2 g cm⁻³. As for the energy relative to the lowest polymorph listed for this composition: 0.682 eV per atom.

It has space group F-43m (No. 216), with a = 6.6116 Å, b = 6.6116 Å, c = 6.6116 Å, α = 90.00°, β = 90.00° and γ = 90.00°. The inequivalent atoms are Gd at (0.0000, 0.0000, 0.0000), Zr at (0.2500, 0.2500, 0.2500) and Pd at (0.2500, 0.2500, 0.7500).

***

The following is a DFT calculation (PBE-GGA) of a relaxed structure of Dy2Re.

Its formation energy is 1.2845 eV per atom. For the theoretical density, the calculation gives 12.4 g cm⁻³.

It has space group Fd-3m (No. 227, origin choice 2), with a = 8.1918 Å, b = 8.1918 Å, c = 8.1918 Å, α = 90.00°, β = 90.00° and γ = 90.00°. The inequivalent atoms are Dy at (0.0000, 0.0000, 0.0000) and Re at (0.1250, 0.1250, 0.6250).

***

The following is a DFT calculation (PBE-GGA) of a relaxed structure of InTc.

The total DFT energy (no corrections) is -4.76 eV per atom. For the theoretical density, the calculation gives 6.1 g cm⁻³.

It has space group F-43m (No. 216), with a = 6.1392 Å, b = 6.1392 Å, c = 6.1392 Å, α = 90.00°, β = 90.00° and γ = 90.00°. The inequivalent atoms are In at (0.0000, 0.0000, 0.0000) and Tc at (0.2500, 0.2500, 0.7500).

***

What is the theoretical density in the second record? 12.4 g cm⁻³